! BaZrScTc2 (PBE, relaxed); values from VASP
&SYSTEM
  ibrav = 0, nat = 5, ntyp = 4
/
ATOMIC_SPECIES
Sc 44.96 Sc.upf
Ba 137.33 Ba.upf
Zr 91.22 Zr.upf
Tc 98.00 Tc.upf
ATOMIC_POSITIONS angstrom
Sc 1.906 -4.000 -0.505
Ba 2.653 -0.784 0.525
Zr 0.000 0.000 0.000
Tc 0.070 -1.193 -2.134
Tc -0.817 -2.024 1.104
CELL_PARAMETERS angstrom
-1.633 -4.048 2.208
0.140 -2.385 -4.268
5.306 -1.568 1.051
! * energy: -6.06 eV per atom
! * symmetry: P4/mmm (123)

=====

! BaScTe3 (PBE, relaxed); values from VASP
&SYSTEM
  ibrav = 0, nat = 20, ntyp = 3
/
ATOMIC_SPECIES
Ba 137.33 Ba.upf
Sc 44.96 Sc.upf
Te 127.60 Te.upf
ATOMIC_POSITIONS angstrom
Ba -7.984 -6.168 -2.080
Ba -10.372 1.000 4.562
Ba -14.087 -2.716 3.518
Ba -4.268 -2.452 -1.035
Sc -9.922 -4.534 1.588
Sc -8.433 -0.634 0.895
Sc -5.417 -3.845 -5.600
Sc -12.938 -1.324 8.083
Te -5.954 0.471 -0.029
Te -15.381 -4.945 6.007
Te -1.965 0.451 0.320
Te -7.394 -3.393 0.663
Te -7.480 -0.914 3.663
Te -10.961 -1.775 1.820
Te -11.432 -2.130 5.780
Te -16.390 -5.620 2.162
Te -2.974 -0.224 -3.524
Te -6.923 -3.039 -3.297
Te -10.875 -4.254 -1.180
Te -12.401 -5.639 2.511
CELL_PARAMETERS angstrom
-2.222 2.917 -2.474
-3.640 -7.147 -5.159
-12.493 -0.938 10.115
! * energy: -4.81 eV per atom
! * symmetry: Pnma (62)
! * formation energy without anion corrections: -1.27 eV/atom

=====

! Ba2ScTe (PBE, relaxed); values from VASP
&SYSTEM
  ibrav = 0, nat = 4, ntyp = 3
/
ATOMIC_SPECIES
Ba 137.33 Ba.upf
Sc 44.96 Sc.upf
Te 127.60 Te.upf
ATOMIC_POSITIONS angstrom
Ba 0.000 6.896 6.326
Ba 2.466 2.097 2.272
Sc 0.000 4.498 3.452
Te 2.466 4.494 5.139
CELL_PARAMETERS angstrom
4.932 0.000 0.000
0.000 4.807 0.009
0.000 2.388 6.866
! * energy: -3.87 eV per atom
! * symmetry: Amm2 (38)
! * formation energy without anion corrections: -0.54 eV/atom

=====

! Ba2ScTe (PBE, relaxed); values from VASP
&SYSTEM
  ibrav = 0, nat = 4, ntyp = 3
/
ATOMIC_SPECIES
Ba 137.33 Ba.upf
Sc 44.96 Sc.upf
Te 127.60 Te.upf
ATOMIC_POSITIONS angstrom
Ba 0.000 0.000 0.000
Ba -0.083 -2.662 2.606
Sc -0.057 0.903 3.585
Te 3.121 -1.689 1.039
CELL_PARAMETERS angstrom
-3.261 -0.071 5.152
3.095 -5.254 0.060
3.147 1.876 2.018
! * energy: -3.72 eV per atom
! * symmetry: Cmmm (65)
! * formation energy without anion corrections: -0.39 eV/atom

=====

! Ba2ScTe (PBE, relaxed); values from VASP
&SYSTEM
  ibrav = 0, nat = 4, ntyp = 3
/
ATOMIC_SPECIES
Ba 137.33 Ba.upf
Sc 44.96 Sc.upf
Te 127.60 Te.upf
ATOMIC_POSITIONS angstrom
Ba 12.565 3.806 0.371
Ba 11.420 3.459 3.997
Sc 8.158 2.471 2.739
Te 3.264 0.989 1.338
CELL_PARAMETERS angstrom
7.030 -0.001 -0.014
5.847 3.902 -0.014
2.143 0.649 5.676
! * energy: -3.84 eV per atom
! * symmetry: Cm (8)
! * formation energy without anion corrections: -0.51 eV/atom

=====

! Ba2ScTe (PBE, relaxed); values from VASP
&SYSTEM
  ibrav = 0, nat = 8, ntyp = 3
/
ATOMIC_SPECIES
Sc 44.96 Sc.upf
Te 127.60 Te.upf
Ba 137.33 Ba.upf
ATOMIC_POSITIONS angstrom
Sc -5.154 -3.285 -3.220
Sc -8.808 -6.503 -1.496
Te 0.000 0.000 0.000
Te -8.890 -1.603 -6.365
Ba -5.930 -0.343 -5.478
Ba -5.496 -5.352 -0.063
Ba -9.237 -3.339 -3.537
Ba -14.733 -7.177 -6.645
CELL_PARAMETERS angstrom
-5.235 1.615 -8.088
-5.072 -8.184 1.649
-7.391 -1.536 -1.422
! * energy: -3.54 eV per atom
! * symmetry: I-42d (122)
! * formation energy without anion corrections: -0.21 eV/atom

=====

Question: Which value of energy does entry 5 give?
Answer: -3.84 eV per atom

=====

Question: Which of these has the lowest energy?
Answer: BaZrScTc2

=====

Copy entry 5 word for word.
! Ba2ScTe (PBE, relaxed); values from VASP
&SYSTEM
  ibrav = 0, nat = 4, ntyp = 3
/
ATOMIC_SPECIES
Ba 137.33 Ba.upf
Sc 44.96 Sc.upf
Te 127.60 Te.upf
ATOMIC_POSITIONS angstrom
Ba 12.565 3.806 0.371
Ba 11.420 3.459 3.997
Sc 8.158 2.471 2.739
Te 3.264 0.989 1.338
CELL_PARAMETERS angstrom
7.030 -0.001 -0.014
5.847 3.902 -0.014
2.143 0.649 5.676
! * energy: -3.84 eV per atom
! * symmetry: Cm (8)
! * formation energy without anion corrections: -0.51 eV/atom

=====

Question: What is the energy in the second record?
Answer: -4.81 eV per atom